No. 1
First-principles (PBE) data for an optimized crystal structure of Ce6SmOs3, as listed in Alexandria via LeMat-Bulk.

Geometry as POSCAR:
```
Ce6SmOs3
1.0
5.5397 -6.4844 0.0000
5.5397 6.4844 0.0000
0.0000 0.0000 7.3188
Ce Sm Os
12 2 6
Direct
0.0287 0.9713 0.5000
0.0510 0.4179 0.3657
0.2241 0.7759 0.1693
0.2862 0.3820 0.0145
0.3820 0.2862 0.5145
0.4179 0.0510 0.8657
0.5821 0.9490 0.3657
0.6180 0.7138 0.0145
0.7138 0.6180 0.5145
0.7759 0.2241 0.6693
0.9490 0.5821 0.8657
0.9713 0.0287 0.0000
0.3265 0.6735 0.6607
0.6735 0.3265 0.1607
0.0966 0.2984 0.7090
0.2984 0.0966 0.2090
0.4185 0.5815 0.3075
0.5815 0.4185 0.8075
0.7016 0.9034 0.7090
0.9034 0.7016 0.2090
```

Values from the calculation:
uncorrected energy	-75.1	eV per formula unit
symmetry	Cmc2_1, No. 36

No. 2
First-principles (PBE) data for an optimized crystal structure of LiUTlSe3, as listed in Alexandria via LeMat-Bulk.

Geometry as POSCAR:
```
LiUTlSe3
1.0
9.0692 0.0000 0.0000
0.0000 4.2018 0.0000
-2.5451 0.0000 9.0369
Li U Tl Se
2 2 2 6
Direct
0.0773 0.2500 0.0952
0.9227 0.7500 0.9048
0.3240 0.7500 0.3455
0.6760 0.2500 0.6545
0.2008 0.2500 0.7525
0.7992 0.7500 0.2475
0.1251 0.2500 0.3761
0.2102 0.7500 0.0410
0.4611 0.7500 0.6600
0.5389 0.2500 0.3400
0.7898 0.2500 0.9590
0.8749 0.7500 0.6239
```

Values from the calculation:
uncorrected energy	-32.1	eV per formula unit
formation energy (no corrections)	-1006	meV/atom
symmetry	P2_1/m, No. 11